Na2ZnCu2: relaxed, GGA-PBE.

- E: -2.2568 eV per atom
- Energy of formation from the pure elements: 164 meV per atom
- Magnetic moment: 0.00 Bohr magnetons per cell
- ΔE to the lowest computed polymorph: 0.00 eV/f.u.

```
data_Na2ZnCu2
_chemical_formula_sum 'Na4 Zn2 Cu4'
_cell_length_a 6.375
_cell_length_b 6.375
_cell_length_c 4.786
_cell_angle_alpha 90.00
_cell_angle_beta 90.00
_cell_angle_gamma 90.00
_space_group_name_H-M_alt 'P 4/m b m'
_space_group_IT_number 127
_space_group_name_Hall '-P 4 2ab'
loop_
_atom_site_label
_atom_site_type_symbol
_atom_site_fract_x
_atom_site_fract_y
_atom_site_fract_z
Na1 Na 0.176 0.324 0.000
Zn1 Zn 0.000 0.000 0.500
Cu1 Cu 0.134 0.634 0.500
```